No. 1
The following is a PBE-GGA calculation of an optimized crystal structure of Nd7Ho5, from Alexandria.

As for the energy relative to the lowest polymorph listed for this composition: 1.87 eV per formula unit.

The space group is C2/m (No. 12) and the conventional cell measures 9.728, 5.821 and 14.821 Å, with angles of 90.00, 103.71 and 90.00 degrees. The asymmetric unit holds Nd at (0.000, 0.000, 0.000), Nd at (0.042, 0.500, 0.713), Nd at (0.182, 0.000, 0.583), Nd at (0.238, 0.500, 0.171), Ho at (0.000, 0.500, 0.500), Ho at (0.123, 0.000, 0.300) and Ho at (0.141, 0.500, 0.940).

=====

No. 2
The following is a PBE-GGA calculation of an optimized crystal structure of Ac2TeBrF2, from Alexandria.

For the uncorrected formation energy, the calculation gives -2707.7 meV per atom.

The space group is P-3m1 (No. 164) and the conventional cell measures 4.3928, 4.3928 and 9.2596 Å, with angles of 90.00, 90.00 and 120.00 degrees. The asymmetric unit holds Ac at (0.3333, 0.6667, 0.2363), Te at (0.0000, 0.0000, 0.0000), Br at (0.0000, 0.0000, 0.5000) and F at (0.3333, 0.6667, 0.7241).

=====

No. 3
The following is a PBE-GGA calculation of an optimized crystal structure of LiIn2Re, from Alexandria.

As for the energy relative to the lowest polymorph listed for this composition: 1.50 eV per formula unit.

The space group is F-43m (No. 216) and the conventional cell measures 6.619, 6.619 and 6.619 Å, with angles of 90.00, 90.00 and 90.00 degrees. The asymmetric unit holds Li at (0.000, 0.000, 0.000), In at (0.000, 0.000, 0.500), In at (0.250, 0.250, 0.750) and Re at (0.250, 0.250, 0.250).

=====

No. 4
The following is a PBE-GGA calculation of an optimized crystal structure of LaFeW2, from Alexandria.

As for the energy relative to the lowest polymorph listed for this composition: 0.45 eV per formula unit.

The space group is Immm (No. 71) and the conventional cell measures 2.805, 4.711 and 11.036 Å, with angles of 90.00, 90.00 and 90.00 degrees. The asymmetric unit holds La at (0.000, 0.000, 0.000), Fe at (0.000, 0.000, 0.500) and W at (0.000, 0.500, 0.203).

=====

No. 5
The following is a PBE-GGA calculation of an optimized crystal structure of CaAl2Zn, from Alexandria.

The calculation puts the energy at -11.11 eV per formula unit.

The space group is P2/m (No. 10) and the conventional cell measures 3.444, 4.510 and 5.540 Å, with angles of 90.00, 95.79 and 90.00 degrees. The asymmetric unit holds Ca at (0.000, 0.000, 0.000), Al at (0.439, 0.500, 0.740) and Zn at (0.500, 0.000, 0.500).

=====

No. 6
The following is a PBE-GGA calculation of an optimized crystal structure of V2CoAs, from Alexandria.

The calculation puts the energy at -29.61 eV per formula unit.

The space group is I-42d (No. 122) and the conventional cell measures 6.597, 6.597 and 5.084 Å, with angles of 90.00, 90.00 and 90.00 degrees. The asymmetric unit holds V at (0.227, 0.250, 0.125), Co at (0.000, 0.000, 0.000) and As at (0.000, 0.000, 0.500).

=====

No. 7
The following is a PBE-GGA calculation of an optimized crystal structure of BaSbPd2F, from Alexandria.

As for the energy relative to the lowest polymorph listed for this composition: 5.26 eV per formula unit. For the uncorrected formation energy, the calculation gives 820.7 meV per atom.

The space group is P4/mmm (No. 123) and the conventional cell measures 5.408, 5.408 and 6.757 Å, with angles of 90.00, 90.00 and 90.00 degrees. The asymmetric unit holds Ba at (0.000, 0.000, 0.000), Sb at (0.000, 0.000, 0.500), Pd at (0.000, 0.500, 0.000) and F at (0.500, 0.500, 0.500).

=====

No. 8
The following is a PBE-GGA calculation of an optimized crystal structure of NiSbI2Cl, from Alexandria.

As for the energy relative to the lowest polymorph listed for this composition: 4.90 eV per formula unit. For the uncorrected formation energy, the calculation gives 1153.8 meV per atom.

The space group is P4/mmm (No. 123) and the conventional cell measures 5.633, 5.633 and 5.480 Å, with angles of 90.00, 90.00 and 90.00 degrees. The asymmetric unit holds Ni at (0.000, 0.000, 0.000), Sb at (0.500, 0.500, 0.000), I at (0.000, 0.500, 0.500) and Cl at (0.500, 0.500, 0.500).

=====

No. 9
The following is a PBE-GGA calculation of an optimized crystal structure of RbSb2P2, from Alexandria.

As for the energy relative to the lowest polymorph listed for this composition: 0.00 eV per formula unit. For the uncorrected formation energy, the calculation gives -82.9 meV per atom.

The space group is I4/mmm (No. 139) and the conventional cell measures 5.060, 5.060 and 11.813 Å, with angles of 90.00, 90.00 and 90.00 degrees. The asymmetric unit holds Rb at (0.000, 0.000, 0.000), Sb at (0.000, 0.000, 0.332) and P at (0.000, 0.500, 0.250).

=====

No. 10
The following is a PBE-GGA calculation of an optimized crystal structure of TaZnI2, from Alexandria.

As for the energy relative to the lowest polymorph listed for this composition: 1.32 eV per formula unit. For the uncorrected formation energy, the calculation gives 704.1 meV per atom.

The space group is Fm-3m (No. 225) and the conventional cell measures 7.085, 7.085 and 7.085 Å, with angles of 90.00, 90.00 and 90.00 degrees. The asymmetric unit holds Ta at (0.000, 0.000, 0.000), Zn at (0.000, 0.000, 0.500) and I at (0.250, 0.250, 0.250).

=====

No. 11
The following is a PBE-GGA calculation of an optimized crystal structure of RbPtF, from Alexandria.

As for the energy relative to the lowest polymorph listed for this composition: 4.38 eV per formula unit. For the uncorrected formation energy, the calculation gives 112.6 meV per atom.

The space group is F-43m (No. 216) and the conventional cell measures 6.735, 6.735 and 6.735 Å, with angles of 90.00, 90.00 and 90.00 degrees. The asymmetric unit holds Rb at (0.000, 0.000, 0.000), Pt at (0.250, 0.250, 0.750) and F at (0.000, 0.000, 0.500).

=====

No. 12
The following is a PBE-GGA calculation of an optimized crystal structure of Rb2PaHg2S6, from Alexandria.

For the uncorrected formation energy, the calculation gives -809.8 meV per atom.

The space group is C2/m (No. 12) and the conventional cell measures 12.704, 7.505 and 8.250 Å, with angles of 90.00, 114.38 and 90.00 degrees. The asymmetric unit holds Rb at (0.202, 0.000, 0.153), Pa at (0.000, 0.000, 0.500), Hg at (0.072, 0.500, 0.307), S at (0.051, 0.230, 0.769) and S at (0.217, 0.000, 0.564).

=====

no.,mass density (g/cm3),total magnetization (μB per formula unit)
1,7.47,0.00
2,7.51,0.00
3,9.68,0.00
4,12.81,0.00
5,3.09,0.00
6,7.08,0.00
7,4.13,0.00
8,4.49,1.92
9,4.29,0.00
10,9.34,0.00
11,6.51,0.18
12,4.61,0.00